1.
Below is an optimized crystal structure of CoRu2Br, with properties calculated at the PBE level.

Calculated values
ΔE to the lowest computed polymorph, meV/atom: 183
Formation energy (no corrections), eV/atom: 0.730
Crystal system: trigonal
Final energy, eV per atom: -6.10
M_tot, μB per cell: 7.5

CIF file:
```
data_CoRu2Br
_chemical_formula_sum 'Co3 Ru6 Br3'
_cell_length_a 2.8708
_cell_length_b 2.8708
_cell_length_c 24.8867
_cell_angle_alpha 90.00
_cell_angle_beta 90.00
_cell_angle_gamma 120.00
_symmetry_space_group_name_H-M 'R -3 m'
_symmetry_Int_Tables_number 166
_symmetry_space_group_name_Hall '-R 3 2"'
loop_
_atom_site_label
_atom_site_fract_x
_atom_site_fract_y
_atom_site_fract_z
Co1 0.0000 0.0000 0.0000
Ru1 0.0000 0.0000 0.2543
Br1 0.0000 0.0000 0.5000
```

=====

2.
Below is an optimized crystal structure of RbSrN2O, with properties calculated at the PBE level.

Calculated values
Formation energy (no corrections), eV/atom: 0.618
Crystal system: tetragonal
Final energy, eV per atom: -4.23
M_tot, μB per cell: 4.4

CIF file:
```
data_RbSrN2O
_chemical_formula_sum 'Rb1 Sr1 N2 O1'
_cell_length_a 5.142
_cell_length_b 5.142
_cell_length_c 4.696
_cell_angle_alpha 90.00
_cell_angle_beta 90.00
_cell_angle_gamma 90.00
_symmetry_space_group_name_H-M 'P 4/m m m'
_symmetry_Int_Tables_number 123
_symmetry_space_group_name_Hall '-P 4 2'
loop_
_atom_site_label
_atom_site_fract_x
_atom_site_fract_y
_atom_site_fract_z
Rb1 0.000 0.000 0.000
Sr1 0.500 0.500 0.500
N1 0.000 0.500 0.500
O1 0.500 0.500 0.000
```

=====

3.
Below is an optimized crystal structure of Te2Au, with properties calculated at the PBE level.

Calculated values
Formation energy (no corrections), eV/atom: 0.165
Crystal system: orthorhombic
Final energy, eV per atom: -3.02
M_tot, μB per cell: 0.0

CIF file:
```
data_Te2Au
_chemical_formula_sum 'Te8 Au4'
_cell_length_a 3.956
_cell_length_b 21.448
_cell_length_c 3.966
_cell_angle_alpha 90.00
_cell_angle_beta 90.00
_cell_angle_gamma 90.00
_symmetry_space_group_name_H-M 'C m c m'
_symmetry_Int_Tables_number 63
_symmetry_space_group_name_Hall '-C 2c 2'
loop_
_atom_site_label
_atom_site_fract_x
_atom_site_fract_y
_atom_site_fract_z
Te1 0.000 0.075 0.250
Te2 0.000 0.217 0.750
Au1 0.000 0.405 0.250
```

=====

4.
Below is an optimized crystal structure of Cu2PAu, with properties calculated at the PBE level.

Calculated values
Crystal system: monoclinic
Final energy, eV per atom: -4.10
M_tot, μB per cell: 0.0

CIF file:
```
data_Cu2PAu
_chemical_formula_sum 'Cu4 P2 Au2'
_cell_length_a 8.316
_cell_length_b 2.907
_cell_length_c 4.870
_cell_angle_alpha 90.00
_cell_angle_beta 98.09
_cell_angle_gamma 90.00
_symmetry_space_group_name_H-M 'C 1 m 1'
_symmetry_Int_Tables_number 8
loop_
_symmetry_equiv_pos_as_xyz
'x,y,z'
'x,-y,z'
'x+1/2,y+1/2,z'
'x+1/2,-y+1/2,z'
loop_
_atom_site_label
_atom_site_fract_x
_atom_site_fract_y
_atom_site_fract_z
Cu1 0.000 0.000 0.000
Cu2 0.244 0.500 0.218
P1 0.263 0.000 0.831
Au1 0.497 0.000 0.503
```

=====

5.
Below is an optimized crystal structure of Tb7Cd2Ga2, with properties calculated at the PBE level.

Calculated values
Crystal system: orthorhombic
Final energy, eV per atom: -3.69
M_tot, μB per cell: 0.0

CIF file:
```
data_Tb7Cd2Ga2
_chemical_formula_sum 'Tb14 Cd4 Ga4'
_cell_length_a 7.458
_cell_length_b 10.673
_cell_length_c 8.094
_cell_angle_alpha 90.00
_cell_angle_beta 90.00
_cell_angle_gamma 90.00
_symmetry_space_group_name_H-M 'C m m m'
_symmetry_Int_Tables_number 65
_symmetry_space_group_name_Hall '-C 2 2'
loop_
_atom_site_label
_atom_site_fract_x
_atom_site_fract_y
_atom_site_fract_z
Tb1 0.000 0.000 0.000
Tb2 0.000 0.500 0.284
Tb3 0.250 0.250 0.297
Cd1 0.000 0.302 0.000
Ga1 0.170 0.000 0.500
```

=====

6.
Below is an optimized crystal structure of Sm4Dy2Ge3O2, with properties calculated at the PBE level.

Calculated values
Formation energy (no corrections), eV/atom: -1.508
Crystal system: tetragonal
Final energy, eV per atom: -6.22
M_tot, μB per cell: 0.0

CIF file:
```
data_Sm4Dy2Ge3O2
_chemical_formula_sum 'Sm8 Dy4 Ge6 O4'
_cell_length_a 4.641
_cell_length_b 4.641
_cell_length_c 23.953
_cell_angle_alpha 90.00
_cell_angle_beta 90.00
_cell_angle_gamma 90.00
_symmetry_space_group_name_H-M 'I 4/m m m'
_symmetry_Int_Tables_number 139
_symmetry_space_group_name_Hall '-I 4 2'
loop_
_atom_site_label
_atom_site_fract_x
_atom_site_fract_y
_atom_site_fract_z
Sm1 0.000 0.500 0.081
Dy1 0.000 0.000 0.199
Ge1 0.000 0.000 0.323
Ge2 0.000 0.000 0.500
O1 0.000 0.000 0.105
```